# 1
Entry from OQMD: an optimized crystal structure of NiAu2 (PBE).

Cell lengths 5.508, 5.508, 3.988 Å; angles 90.00, 90.00, 90.00 degrees
Fractional positions:
Ni  0.000  0.000  0.000
Ni  0.500  0.500  0.500
Au  0.186  0.186  0.500
Au  0.314  0.686  0.000
Au  0.686  0.314  0.000
Au  0.814  0.814  0.500

Properties
* energy of formation from the pure elements: 0.56 eV/atom
* crystal system: tetragonal
* DFT total energy: -3.476 eV/atom
* space group: P4_2/mnm, No. 136


# 2
Entry from OQMD: an optimized crystal structure of Mg2HgPt2 (PBE).

Cell lengths 7.656, 7.656, 3.020 Å; angles 90.00, 90.00, 90.00 degrees
Fractional positions:
Mg  0.156  0.344  0.000
Mg  0.344  0.844  0.000
Mg  0.656  0.156  0.000
Mg  0.844  0.656  0.000
Hg  0.000  0.000  0.500
Hg  0.500  0.500  0.500
Pt  0.140  0.640  0.500
Pt  0.360  0.140  0.500
Pt  0.640  0.860  0.500
Pt  0.860  0.360  0.500

Properties
* crystal system: tetragonal
* DFT total energy: -3.708 eV/atom
* space group: P4/mbm, No. 127


# 3
Entry from OQMD: an optimized crystal structure of ZrH (PBE).

Cell lengths 4.927, 4.927, 8.523 Å; angles 90.00, 90.00, 90.46 degrees
Fractional positions:
Zr  0.000  0.000  0.000
Zr  0.000  0.000  0.500
Zr  0.011  0.511  0.750
Zr  0.489  0.989  0.750
Zr  0.500  0.500  0.000
Zr  0.500  0.500  0.500
Zr  0.511  0.011  0.250
Zr  0.989  0.489  0.250
H  0.250  0.250  0.126
H  0.250  0.250  0.626
H  0.250  0.750  0.125
H  0.250  0.750  0.375
H  0.750  0.250  0.625
H  0.750  0.250  0.875
H  0.750  0.750  0.374
H  0.750  0.750  0.874

Properties
* crystal system: orthorhombic
* DFT total energy: -6.359 eV/atom
* space group: Ccce, No. 68


# 4
Entry from OQMD: an optimized crystal structure of AlAgOs2 (PBE).

Cell lengths 6.219, 6.219, 6.219 Å; angles 90.00, 90.00, 90.00 degrees
Fractional positions:
Al  0.000  0.000  0.000
Al  0.000  0.500  0.500
Al  0.500  0.000  0.500
Al  0.500  0.500  0.000
Ag  0.250  0.250  0.250
Ag  0.250  0.750  0.750
Ag  0.750  0.250  0.750
Ag  0.750  0.750  0.250
Os  0.000  0.000  0.500
Os  0.000  0.500  0.000
Os  0.250  0.250  0.750
Os  0.250  0.750  0.250
Os  0.500  0.000  0.000
Os  0.500  0.500  0.500
Os  0.750  0.250  0.250
Os  0.750  0.750  0.750

Properties
* crystal system: cubic
* DFT total energy: -6.877 eV/atom
* space group: F-43m, No. 216


# 5
Entry from OQMD: an optimized crystal structure of InSbPd4Pt (PBE).

Cell lengths 4.108, 4.108, 7.335 Å; angles 90.00, 90.00, 90.00 degrees
Fractional positions:
In  0.000  0.000  0.000
Sb  0.500  0.500  0.500
Pd  0.000  0.500  0.270
Pd  0.000  0.500  0.730
Pd  0.500  0.000  0.270
Pd  0.500  0.000  0.730
Pt  0.500  0.500  0.000

Properties
* crystal system: tetragonal
* DFT total energy: -5.269 eV/atom
* space group: P4/mmm, No. 123


# 6
Entry from OQMD: an optimized crystal structure of KTa4N5F (PBE).

Cell lengths 4.124, 4.124, 8.742 Å; angles 90.00, 90.00, 90.00 degrees
Fractional positions:
K  0.000  0.000  0.000
Ta  0.000  0.500  0.500
Ta  0.500  0.000  0.500
Ta  0.500  0.500  0.241
Ta  0.500  0.500  0.759
N  0.000  0.000  0.500
N  0.000  0.500  0.255
N  0.000  0.500  0.745
N  0.500  0.000  0.255
N  0.500  0.000  0.745
F  0.500  0.500  0.000

Properties
* crystal system: tetragonal
* DFT total energy: -9.235 eV/atom
* space group: P4/mmm, No. 123


# 7
Entry from OQMD: an optimized crystal structure of PuScU (PBE).

Cell lengths 6.698, 6.698, 6.698 Å; angles 90.00, 90.00, 90.00 degrees
Fractional positions:
Pu  0.000  0.000  0.000
Pu  0.000  0.500  0.500
Pu  0.500  0.000  0.500
Pu  0.500  0.500  0.000
Sc  0.250  0.250  0.750
Sc  0.250  0.750  0.250
Sc  0.750  0.250  0.250
Sc  0.750  0.750  0.750
U  0.250  0.250  0.250
U  0.250  0.750  0.750
U  0.750  0.250  0.750
U  0.750  0.750  0.250

Properties
* energy of formation from the pure elements: 0.72 eV/atom
* crystal system: cubic
* relative energy among the computed polymorphs: 0.00 eV/f.u.
* DFT total energy: -9.861 eV/atom
* space group: F-43m, No. 216


# 8
Entry from OQMD: an optimized crystal structure of Cu2Ag3 (PBE).

Cell lengths 6.107, 6.107, 9.357 Å; angles 100.38, 100.38, 26.98 degrees
Fractional positions:
Cu  0.000  0.000  0.000
Cu  0.091  0.091  0.276
Cu  0.681  0.681  0.092
Cu  0.893  0.893  0.692
Ag  0.197  0.197  0.596
Ag  0.299  0.299  0.894
Ag  0.395  0.395  0.185
Ag  0.491  0.491  0.489
Ag  0.583  0.583  0.801
Ag  0.781  0.781  0.379

Properties
* energy of formation from the pure elements: 0.09 eV/atom
* crystal system: monoclinic
* relative energy among the computed polymorphs: 0.27 eV/f.u.
* DFT total energy: -3.096 eV/atom
* space group: Cm, No. 8


# 9
Entry from OQMD: an optimized crystal structure of LaPrSi2Pd4 (PBE).

Cell lengths 4.302, 4.302, 9.894 Å; angles 90.00, 90.00, 120.00 degrees
Fractional positions:
La  0.000  0.000  0.000
Pr  0.333  0.667  0.500
Si  0.667  0.333  0.252
Si  0.667  0.333  0.748
Pd  0.000  0.000  0.315
Pd  0.000  0.000  0.685
Pd  0.333  0.667  0.187
Pd  0.333  0.667  0.813

Properties
* crystal system: hexagonal
* DFT total energy: -5.968 eV/atom
* space group: P-6m2, No. 187


# 10
Entry from OQMD: an optimized crystal structure of Tm3Zr3Sb2Os (PBE).

Cell lengths 7.983, 7.983, 3.832 Å; angles 90.00, 90.00, 120.00 degrees
Fractional positions:
Tm  0.000  0.753  0.000
Tm  0.247  0.247  0.000
Tm  0.753  0.000  0.000
Zr  0.000  0.395  0.500
Zr  0.395  0.000  0.500
Zr  0.605  0.605  0.500
Sb  0.333  0.667  0.000
Sb  0.667  0.333  0.000
Os  0.000  0.000  0.500

Properties
* crystal system: hexagonal
* relative energy among the computed polymorphs: 1.19 eV/f.u.
* DFT total energy: -6.993 eV/atom
* space group: P-62m, No. 189


# 11
Entry from OQMD: an optimized crystal structure of AgPdSO (PBE).

Cell lengths 3.881, 3.881, 8.876 Å; angles 90.00, 90.00, 90.00 degrees
Fractional positions:
Ag  0.250  0.250  0.140
Ag  0.750  0.750  0.860
Pd  0.250  0.250  0.665
Pd  0.750  0.750  0.335
S  0.250  0.750  0.500
S  0.750  0.250  0.500
O  0.250  0.250  0.890
O  0.750  0.750  0.110

Properties
* crystal system: tetragonal
* relative energy among the computed polymorphs: 1.83 eV/f.u.
* DFT total energy: -3.995 eV/atom
* space group: P4/nmm, No. 129


# 12
Entry from OQMD: an optimized crystal structure of K3RbIn3Au4 (PBE).

Cell lengths 9.074, 9.074, 4.678 Å; angles 90.00, 90.00, 120.00 degrees
Fractional positions:
K  0.052  0.526  0.000
K  0.474  0.526  0.000
K  0.474  0.948  0.000
Rb  0.667  0.333  0.500
In  0.125  0.249  0.500
In  0.125  0.875  0.500
In  0.751  0.875  0.500
Au  0.222  0.111  0.000
Au  0.333  0.667  0.500
Au  0.889  0.111  0.000
Au  0.889  0.778  0.000

Properties
* crystal system: hexagonal
* DFT total energy: -2.541 eV/atom
* space group: P-6m2, No. 187